No. 1
! Pm3Tl4 | Alexandria | PBE | optimized geometry; values from VASP
&SYSTEM
  ibrav = 0, nat = 14, ntyp = 2
/
ATOMIC_SPECIES
Tl 204.38 Tl.upf
Pm 145.00 Pm.upf
CELL_PARAMETERS angstrom
8.1946 0.0000 0.0000
-2.7315 7.7260 0.0000
-2.7315 -3.8630 6.6909
ATOMIC_POSITIONS crystal
Tl 0.5000 0.8349 0.5000
Tl 0.3349 0.5000 0.0000
Tl 0.0000 0.0000 0.8349
Tl 0.8349 0.5000 0.0000
Tl 0.5000 0.3349 0.5000
Tl 0.1651 0.6651 0.6651
Tl 0.6651 0.1651 0.1651
Tl 0.0000 0.0000 0.3349
Pm 0.8750 0.2500 0.6250
Pm 0.2500 0.8750 0.1250
Pm 0.6250 0.7500 0.8750
Pm 0.3750 0.1250 0.7500
Pm 0.1250 0.3750 0.2500
Pm 0.7500 0.6250 0.3750
! Density of states at the Fermi level   0.969 states/eV per atom
! E_form   -6.9 kcal/mol of atoms
! Total DFT energy (no corrections)   -3.685 eV/atom
! Distance to the lowest polymorph of the same formula   74 meV per atom

=====

No. 2
! Pm7Tl3 | Alexandria | PBE | optimized geometry; values from VASP
&SYSTEM
  ibrav = 0, nat = 20, ntyp = 2
/
ATOMIC_SPECIES
Tl 204.38 Tl.upf
Pm 145.00 Pm.upf
CELL_PARAMETERS angstrom
-3.1377 -1.7999 -5.1661
0.0549 -10.3422 3.5699
-8.2467 6.6703 2.6847
ATOMIC_POSITIONS crystal
Tl 0.8716 0.6123 0.8062
Tl 0.3716 0.8062 0.6123
Tl 0.3716 0.3877 0.1938
Tl 0.8716 0.1938 0.3877
Tl 0.8716 0.1938 0.8062
Tl 0.3716 0.8062 0.1938
Pm 0.1680 0.0563 0.5281
Pm 0.9000 0.8792 0.7584
Pm 0.4000 0.7584 0.8792
Pm 0.9000 0.8792 0.1208
Pm 0.4000 0.1208 0.8792
Pm 0.1680 0.4719 0.5281
Pm 0.6680 0.9437 0.4719
Pm 0.4000 0.1208 0.2416
Pm 0.6680 0.5281 0.0563
Pm 0.0891 0.6667 0.3333
Pm 0.9000 0.2416 0.1208
Pm 0.5891 0.3333 0.6667
Pm 0.1680 0.4719 0.9437
Pm 0.6680 0.5281 0.4719
! Density of states at the Fermi level   1.460 states/eV per atom
! E_form   -4.5 kcal/mol of atoms
! Total DFT energy (no corrections)   -4.229 eV/atom

=====

No. 3
! PmTl3 | Alexandria | PBE | optimized geometry; values from VASP
&SYSTEM
  ibrav = 0, nat = 4, ntyp = 2
/
ATOMIC_SPECIES
Tl 204.38 Tl.upf
Pm 145.00 Pm.upf
CELL_PARAMETERS angstrom
5.4956 0.0000 0.0000
2.7478 4.7593 0.0000
2.7478 1.5864 4.4871
ATOMIC_POSITIONS crystal
Tl 0.0000 0.0000 0.0000
Tl 0.2500 0.2500 0.2500
Tl 0.7500 0.7500 0.7500
Pm 0.5000 0.5000 0.5000
! Density of states at the Fermi level   0.582 states/eV per atom
! E_form   -3.0 kcal/mol of atoms
! Total DFT energy (no corrections)   -3.091 eV/atom

=====

No. 4
! PmTl2 | Alexandria | PBE | optimized geometry; values from VASP
&SYSTEM
  ibrav = 0, nat = 6, ntyp = 2
/
ATOMIC_SPECIES
Tl 204.38 Tl.upf
Pm 145.00 Pm.upf
CELL_PARAMETERS angstrom
4.9231 0.0489 1.2583
2.2446 4.3819 1.2583
5.2804 3.2642 9.9329
ATOMIC_POSITIONS crystal
Tl 0.1004 0.6004 0.5664
Tl 0.6004 0.1004 0.0664
Tl 0.3996 0.8996 0.9336
Tl 0.8996 0.3996 0.4336
Pm 0.2500 0.7500 0.7500
Pm 0.7500 0.2500 0.2500
! Density of states at the Fermi level   0.366 states/eV per atom
! E_form   -6.5 kcal/mol of atoms
! Total DFT energy (no corrections)   -3.443 eV/atom
! Distance to the lowest polymorph of the same formula   0 meV per atom

=====

No. 5
! PmTl3 | Alexandria | PBE | optimized geometry; values from VASP
&SYSTEM
  ibrav = 0, nat = 4, ntyp = 2
/
ATOMIC_SPECIES
Pm 145.00 Pm.upf
Tl 204.38 Tl.upf
CELL_PARAMETERS angstrom
-1.5365 -4.2502 -1.3635
3.1329 0.0002 -3.5311
2.6419 -0.0977 5.4993
ATOMIC_POSITIONS crystal
Pm 0.0000 0.0000 0.0000
Tl 0.7500 0.2500 0.5000
Tl 0.5000 0.5000 0.0000
Tl 0.2500 0.7500 0.5000
! Density of states at the Fermi level   0.757 states/eV per atom
! E_form   -5.1 kcal/mol of atoms
! Total DFT energy (no corrections)   -3.184 eV/atom

=====

No. 6
! Pm6Tl5 | Alexandria | PBE | optimized geometry; values from VASP
&SYSTEM
  ibrav = 0, nat = 11, ntyp = 2
/
ATOMIC_SPECIES
Pm 145.00 Pm.upf
Tl 204.38 Tl.upf
CELL_PARAMETERS angstrom
8.7454 0.0000 -0.7151
4.3727 5.9331 -0.3575
2.2292 0.0000 6.5313
ATOMIC_POSITIONS crystal
Pm 0.9509 0.6990 0.1917
Pm 0.6500 0.3010 0.1917
Pm 0.3500 0.6990 0.8083
Pm 0.0491 0.3010 0.8083
Pm 0.8131 0.0000 0.6961
Pm 0.1869 0.0000 0.3039
Tl 0.2309 0.5382 0.5000
Tl 0.7691 0.4618 0.5000
Tl 0.5000 0.0000 0.5000
Tl 0.3719 0.2562 0.0000
Tl 0.6281 0.7438 0.0000
! Density of states at the Fermi level   1.023 states/eV per atom
! E_form   -4.8 kcal/mol of atoms
! Total DFT energy (no corrections)   -3.876 eV/atom

=====

No. 7
! Pm3Tl4 | Alexandria | PBE | optimized geometry; values from VASP
&SYSTEM
  ibrav = 0, nat = 14, ntyp = 2
/
ATOMIC_SPECIES
Tl 204.38 Tl.upf
Pm 145.00 Pm.upf
CELL_PARAMETERS angstrom
-4.6235 0.8496 -4.7081
-3.9813 -4.5599 6.2209
2.1959 8.0389 2.4282
ATOMIC_POSITIONS crystal
Tl 0.4071 0.4662 0.1525
Tl 0.5000 0.0000 0.0000
Tl 0.0000 0.0000 0.0000
Tl 0.7453 0.1525 0.6863
Tl 0.5929 0.5338 0.8475
Tl 0.0590 0.3137 0.4662
Tl 0.9410 0.6863 0.5338
Tl 0.2547 0.8475 0.3137
Pm 0.4920 0.2626 0.3877
Pm 0.2294 0.1251 0.7374
Pm 0.5080 0.7374 0.6123
Pm 0.7706 0.8749 0.2626
Pm 0.1043 0.6123 0.8749
Pm 0.8957 0.3877 0.1251
! Density of states at the Fermi level   0.729 states/eV per atom
! E_form   -8.5 kcal/mol of atoms
! Total DFT energy (no corrections)   -3.759 eV/atom
! Distance to the lowest polymorph of the same formula   0 meV per atom

=====

No. 8
! PmTl2 | Alexandria | PBE | optimized geometry; values from VASP
&SYSTEM
  ibrav = 0, nat = 6, ntyp = 2
/
ATOMIC_SPECIES
Tl 204.38 Tl.upf
Pm 145.00 Pm.upf
CELL_PARAMETERS angstrom
-5.6101 1.5533 2.2732
-3.3638 -4.2098 3.1649
-0.8059 0.6396 6.1640
ATOMIC_POSITIONS crystal
Tl 0.6250 0.6250 0.6250
Tl 0.1250 0.6250 0.6250
Tl 0.6250 0.6250 0.1250
Tl 0.6250 0.1250 0.6250
Pm 0.2500 0.2500 0.2500
Pm 0.0000 0.0000 0.0000
! Density of states at the Fermi level   0.868 states/eV per atom
! E_form   -3.1 kcal/mol of atoms
! Total DFT energy (no corrections)   -3.294 eV/atom
! Distance to the lowest polymorph of the same formula   149 meV per atom

=====

Question: Which value of total DFT energy (no corrections) does entry 7 give?
Answer: -3.759 eV/atom

=====

Question: The lowest density of states at the Fermi level belongs to which entry?
Answer: number 4

=====

Question: Look up the total DFT energy (no corrections) of the third one.
Answer: -3.091 eV/atom